Record 1
A plane-wave DFT calculation with PBE was carried out for an optimized crystal structure of Er3HgRh.

```
Er3HgRh
1.0
-1.124 2.926 2.596
5.507 -0.155 5.749
5.542 6.548 -1.792
Rh Er Hg
2 6 2
direct
0.768 0.374 0.089
0.232 0.626 0.911
0.409 0.235 0.947
0.833 0.034 0.299
0.863 0.566 0.707
0.137 0.434 0.293
0.591 0.765 0.053
0.167 0.966 0.701
0.423 0.726 0.427
0.577 0.274 0.573
```

Computed properties:
* E: -4.814 eV per atom
* ΔE to the lowest computed polymorph: 0.0 meV/atom
* volume: 26.0 Å³ per atom
* ΔH_f (0 K): -0.55 eV per atom
* space group: No. 12

Record 2
A plane-wave DFT calculation with PBE was carried out for an optimized crystal structure of Sr2GeP.

```
Sr2GeP
1.0
0.000 3.795 3.795
3.795 0.000 3.795
3.795 3.795 0.000
Sr Ge P
2 1 1
direct
0.750 0.750 0.750
0.250 0.250 0.250
0.500 0.500 0.500
0.000 0.000 0.000
```

Computed properties:
* E: -3.835 eV per atom
* ΔE to the lowest computed polymorph: 0.0 meV/atom
* volume: 27.3 Å³ per atom
* ΔH_f (0 K): -0.49 eV per atom
* space group: No. 225

Record 3
A plane-wave DFT calculation with PBE was carried out for an optimized crystal structure of LaMgAlTl.

```
LaMgAlTl
1.0
-1.306 1.847 4.754
-0.814 -3.339 3.989
3.455 -0.258 3.964
Al La Tl Mg
1 1 1 1
direct
0.500 0.500 0.500
0.250 0.250 0.250
0.000 0.000 0.000
0.750 0.750 0.750
```

Computed properties:
* E: -3.377 eV per atom
* volume: 25.8 Å³ per atom
* ΔH_f (0 K): -0.22 eV per atom
* space group: No. 216

Record 4
A plane-wave DFT calculation with PBE was carried out for an optimized crystal structure of Hg2IrI.

```
Hg2IrI
1.0
6.472 0.000 0.000
0.000 6.472 0.000
3.236 3.236 7.008
Hg Ir I
4 2 2
direct
0.711 0.125 0.250
0.375 0.289 0.750
0.875 0.961 0.750
0.039 0.625 0.250
0.000 0.000 0.000
0.750 0.250 0.500
0.500 0.500 0.000
0.250 0.750 0.500
```

Computed properties:
* E: -2.061 eV per atom
* ΔE to the lowest computed polymorph: 0.0 meV/atom
* volume: 36.7 Å³ per atom
* E_form (uncorrected): 267 kJ/mol of formula units
* space group: No. 122

Record 5
A plane-wave DFT calculation with PBE was carried out for an optimized crystal structure of KCeI2.

```
KCeI2
1.0
4.010 0.000 0.000
0.000 4.010 0.000
0.000 0.000 8.471
I K Ce
2 1 1
direct
0.000 0.000 0.222
0.000 0.000 0.778
0.500 0.500 0.500
0.500 0.500 0.000
```

Computed properties:
* E: -3.483 eV per atom
* ΔE to the lowest computed polymorph: 0.0 meV/atom
* volume: 34.0 Å³ per atom
* E_form (uncorrected): -367 kJ/mol of formula units
* space group: No. 123

Record 6
A plane-wave DFT calculation with PBE was carried out for an optimized crystal structure of GaCu2SeO.

```
GaCu2SeO
1.0
-1.735 2.256 -2.397
-3.260 -1.556 0.895
-0.868 4.760 5.109
Ga Se Cu O
1 1 2 1
direct
0.500 0.500 0.500
0.000 0.000 0.500
0.000 0.500 0.000
0.500 0.000 0.000
0.000 0.000 0.000
```

Computed properties:
* E: -4.134 eV per atom
* volume: 19.5 Å³ per atom
* E_form (uncorrected): -97 kJ/mol of formula units
* space group: No. 123

Record 7
A plane-wave DFT calculation with PBE was carried out for an optimized crystal structure of CuS3O9.

```
CuS3O9
1.0
6.965 0.000 2.931
3.039 6.788 2.520
0.634 0.303 8.234
O S Cu
18 6 2
direct
0.472 0.763 0.425
0.233 0.219 0.466
0.014 0.951 0.679
0.051 0.589 0.434
0.016 0.407 0.269
0.085 0.983 0.182
0.925 0.089 0.934
0.619 0.751 0.092
0.355 0.451 0.179
0.751 0.483 0.682
0.740 0.821 0.616
0.308 0.907 0.769
0.992 0.547 0.758
0.340 0.263 0.925
0.823 0.321 0.116
0.081 0.719 0.966
0.703 0.047 0.258
0.538 0.251 0.592
0.890 0.104 0.141
0.180 0.401 0.324
0.546 0.220 0.774
0.095 0.901 0.824
0.459 0.720 0.274
0.864 0.604 0.641
0.984 0.500 0.016
0.499 0.000 0.516
```

Computed properties:
* E: -5.742 eV per atom
* volume: 14.4 Å³ per atom
* E_form (uncorrected): -1307 kJ/mol of formula units
* space group: No. 9

Record 8
A plane-wave DFT calculation with PBE was carried out for an optimized crystal structure of MnCdCoPt.

```
MnCdCoPt
1.0
-2.134 -1.337 -3.616
2.250 -1.710 -3.381
-0.317 -4.301 -0.908
Pt Cd Co Mn
1 1 1 1
direct
0.250 0.250 0.250
0.500 0.500 0.500
0.750 0.750 0.750
0.000 0.000 0.000
```

Computed properties:
* E: -5.805 eV per atom
* volume: 15.1 Å³ per atom
* ΔH_f (0 K): 0.00 eV per atom
* space group: No. 216

Record 9
A plane-wave DFT calculation with PBE was carried out for an optimized crystal structure of VPd3Au.

```
VPd3Au
1.0
-3.030 -0.120 3.433
0.744 -4.492 0.499
3.353 0.888 2.991
Pd Au V
3 1 1
direct
0.500 0.000 0.000
0.000 0.500 0.000
0.000 0.000 0.500
0.500 0.500 0.500
0.000 0.000 0.000
```

Computed properties:
* E: -4.899 eV per atom
* ΔE to the lowest computed polymorph: 864.1 meV/atom
* volume: 19.2 Å³ per atom
* ΔH_f (0 K): 0.70 eV per atom
* space group: No. 221

Record 10
A plane-wave DFT calculation with PBE was carried out for an optimized crystal structure of CaThTe2.

```
CaThTe2
1.0
-1.089 -1.400 3.812
-0.769 -4.090 0.597
7.389 -3.069 3.304
Th Te Ca
1 2 1
direct
0.668 0.668 0.996
0.249 0.249 0.252
0.085 0.085 0.745
0.498 0.498 0.507
```

Computed properties:
* E: -5.165 eV per atom
* ΔE to the lowest computed polymorph: 35.3 meV/atom
* volume: 31.8 Å³ per atom
* E_form (uncorrected): -478 kJ/mol of formula units
* space group: No. 160

Record 11
A plane-wave DFT calculation with PBE was carried out for an optimized crystal structure of Ti4CuRe3.

```
Ti4CuRe3
1.0
3.146 0.000 0.000
0.000 3.146 0.000
0.000 0.000 12.249
Re Ti Cu
3 4 1
direct
0.500 0.500 0.756
0.500 0.500 0.244
0.500 0.500 0.500
0.000 0.000 0.374
0.000 0.000 0.626
0.000 0.000 0.871
0.000 0.000 0.129
0.500 0.500 0.000
```

Computed properties:
* E: -9.472 eV per atom
* volume: 15.2 Å³ per atom
* ΔH_f (0 K): -0.34 eV per atom
* space group: No. 123

Record 12
A plane-wave DFT calculation with PBE was carried out for an optimized crystal structure of Ac5Re2I2.

```
Ac5Re2I2
1.0
7.765 0.000 2.818
-0.007 8.268 0.021
0.601 -0.043 10.448
Re Ac I
4 10 4
direct
0.895 0.604 0.000
0.605 0.104 0.000
0.395 0.896 0.000
0.105 0.396 0.000
0.434 0.176 0.780
0.934 0.322 0.780
0.500 0.500 0.000
0.000 0.000 0.000
0.213 0.178 0.220
0.066 0.678 0.220
0.713 0.324 0.220
0.566 0.824 0.220
0.787 0.822 0.780
0.287 0.676 0.780
0.268 0.500 0.463
0.231 0.000 0.537
0.732 0.500 0.537
0.769 0.000 0.463
```

Computed properties:
* E: -5.671 eV per atom
* volume: 36.5 Å³ per atom
* E_form (uncorrected): -242 kJ/mol of formula units
* space group: No. 15